# 1
K2Cd3Hg6: relaxed, PBE. Values from VASP.

Values from the calculation:
total energy	-0.720	eV/atom
calculated formation energy	-10	kJ/mol of atoms
D(E_F)	7.2	states/eV/f.u.

Quantum ESPRESSO input file:
```
&SYSTEM
  ibrav = 0, nat = 11, ntyp = 3
/
ATOMIC_SPECIES
Hg 200.59 Hg.upf
Cd 112.41 Cd.upf
K 39.10 K.upf
CELL_PARAMETERS angstrom
-3.857 1.849 2.771
-1.678 -8.162 3.111
5.660 5.330 4.321
ATOMIC_POSITIONS angstrom
Hg -0.134 2.615 2.756
Cd 1.712 4.353 4.165
K 3.214 0.833 3.918
Hg -2.461 -1.663 2.372
Hg 0.782 -0.556 1.460
Cd -3.008 -4.325 3.387
K 0.768 -3.665 3.515
Cd -0.508 -0.086 4.038
Hg -1.348 -6.559 2.500
Hg 4.548 4.283 3.472
Hg 0.791 -1.010 6.462
```



# 2
K2Cd2Hg: relaxed, PBE. Values from VASP.

Values from the calculation:
total energy	-0.867	eV/atom
calculated formation energy	0	kJ/mol of atoms
D(E_F)	1.9	states/eV/f.u.

Quantum ESPRESSO input file:
```
&SYSTEM
  ibrav = 0, nat = 10, ntyp = 3
/
ATOMIC_SPECIES
Cd 112.41 Cd.upf
K 39.10 K.upf
Hg 200.59 Hg.upf
CELL_PARAMETERS angstrom
10.399 0.000 0.000
0.000 10.399 0.000
0.000 0.000 3.652
ATOMIC_POSITIONS angstrom
Cd 6.241 9.358 1.826
K 3.198 8.397 0.000
K 8.397 7.201 0.000
K 2.002 3.198 0.000
Cd 1.042 6.241 1.826
K 7.201 2.002 0.000
Cd 9.358 4.158 1.826
Hg 5.200 5.200 0.000
Hg 0.000 0.000 0.000
Cd 4.158 1.042 1.826
```



# 3
K3Cd7Hg2: relaxed, PBE. Values from VASP.

Values from the calculation:
total energy	-0.967	eV/atom
calculated formation energy	-11	kJ/mol of atoms
D(E_F)	5.5	states/eV/f.u.

Quantum ESPRESSO input file:
```
&SYSTEM
  ibrav = 0, nat = 12, ntyp = 3
/
ATOMIC_SPECIES
Cd 112.41 Cd.upf
Hg 200.59 Hg.upf
K 39.10 K.upf
CELL_PARAMETERS angstrom
-0.252 4.180 4.635
-4.885 0.057 3.893
3.245 -5.296 9.161
ATOMIC_POSITIONS angstrom
Cd -1.449 2.549 8.168
Hg -3.410 2.805 5.703
Cd -3.791 0.465 7.793
Cd 1.899 -1.525 9.896
K -2.990 1.332 11.263
Cd -0.569 -1.497 11.863
Cd -0.442 -3.609 9.521
Cd -1.322 0.436 5.825
K 0.000 0.000 0.000
Cd -0.946 -0.530 8.844
Hg 1.519 -3.865 11.985
K 1.099 -2.392 6.426
```



# 4
KCd2Hg8: relaxed, PBE. Values from VASP.

Values from the calculation:
total energy	-0.502	eV/atom
calculated formation energy	-2	kJ/mol of atoms
D(E_F)	2.8	states/eV/f.u.

Quantum ESPRESSO input file:
```
&SYSTEM
  ibrav = 0, nat = 11, ntyp = 3
/
ATOMIC_SPECIES
Cd 112.41 Cd.upf
Hg 200.59 Hg.upf
K 39.10 K.upf
CELL_PARAMETERS angstrom
-3.896 -4.330 2.460
4.250 -4.519 -1.224
4.107 1.422 9.007
ATOMIC_POSITIONS angstrom
Cd 2.125 -2.260 -0.612
Hg 3.276 -1.080 7.299
Hg 3.157 -4.155 1.698
Hg 3.455 -5.561 7.925
Hg 1.303 -3.272 8.544
Cd -1.948 -2.165 1.230
Hg 1.184 -6.347 2.944
Hg -0.968 -4.059 3.564
Hg 5.428 -3.368 6.679
Hg 1.005 -1.866 2.318
K 2.230 -3.714 5.121
```



# 5
KCd2Hg10: relaxed, PBE. Values from VASP.

Values from the calculation:
total energy	-0.520	eV/atom
calculated formation energy	-6	kJ/mol of atoms
D(E_F)	4.0	states/eV/f.u.

Quantum ESPRESSO input file:
```
&SYSTEM
  ibrav = 0, nat = 13, ntyp = 3
/
ATOMIC_SPECIES
Hg 200.59 Hg.upf
Cd 112.41 Cd.upf
K 39.10 K.upf
CELL_PARAMETERS angstrom
-2.929 4.615 -2.844
-5.408 -2.858 -5.744
-6.976 2.078 3.882
ATOMIC_POSITIONS angstrom
Hg -6.273 2.691 -2.523
Cd -2.704 -1.429 -2.872
Hg -9.040 1.144 -2.183
Hg -11.846 2.683 -3.472
Hg -9.376 4.931 -2.369
Hg -5.937 -1.095 -2.338
Cd -4.168 0.879 -4.294
Hg -3.467 1.153 -1.234
Hg -7.185 0.508 -5.126
K 0.000 0.000 0.000
Hg -4.952 3.347 0.519
Hg -8.128 3.327 0.420
Hg -3.488 1.039 1.941
```



# 6
K2CdHg16: relaxed, PBE. Values from VASP.

Values from the calculation:
total energy	-0.527	eV/atom
calculated formation energy	-10	kJ/mol of atoms
D(E_F)	6.6	states/eV/f.u.

Quantum ESPRESSO input file:
```
&SYSTEM
  ibrav = 0, nat = 19, ntyp = 3
/
ATOMIC_SPECIES
K 39.10 K.upf
Hg 200.59 Hg.upf
Cd 112.41 Cd.upf
CELL_PARAMETERS angstrom
-6.267 4.345 3.537
-5.265 -6.026 2.574
1.681 -0.600 8.215
ATOMIC_POSITIONS angstrom
K -3.193 -0.739 4.643
Hg -3.911 0.960 7.659
Hg -1.149 -0.266 1.671
Hg -3.185 -4.377 4.274
Hg -6.996 -3.711 12.185
Hg -3.522 -3.065 7.285
Hg -5.954 1.221 3.262
Hg -9.863 -1.927 10.498
Hg -2.481 -1.119 9.472
Hg -6.302 -4.104 6.368
Cd -9.307 -2.155 13.534
K -6.321 -1.464 9.192
Hg -6.853 1.602 6.898
Hg -6.606 -1.146 5.470
Hg -7.358 0.031 12.532
Hg -0.723 0.873 6.804
Hg -0.424 -2.220 6.517
Hg -3.882 2.839 4.944
Hg -5.555 -2.903 2.879
```



# 7
K3CdHg: relaxed, PBE. Values from VASP.

Values from the calculation:
total energy	-1.002	eV/atom
calculated formation energy	-10	kJ/mol of atoms
D(E_F)	3.8	states/eV/f.u.

Quantum ESPRESSO input file:
```
&SYSTEM
  ibrav = 0, nat = 10, ntyp = 3
/
ATOMIC_SPECIES
K 39.10 K.upf
Cd 112.41 Cd.upf
Hg 200.59 Hg.upf
CELL_PARAMETERS angstrom
4.815 0.000 -0.024
0.000 11.117 0.000
0.022 0.000 8.582
ATOMIC_POSITIONS angstrom
K 1.199 5.282 2.593
Cd 3.608 2.779 3.870
K 1.222 8.338 0.048
Hg 1.210 2.779 5.661
Hg 3.627 8.338 2.897
K 3.638 10.841 5.965
K 3.615 2.779 8.510
K 1.199 0.277 2.593
Cd 1.229 8.338 4.688
K 3.638 5.835 5.965
```



# 8
K2Cd5Hg4: relaxed, PBE. Values from VASP.

Values from the calculation:
total energy	-0.840	eV/atom
calculated formation energy	-11	kJ/mol of atoms
D(E_F)	4.0	states/eV/f.u.

Quantum ESPRESSO input file:
```
&SYSTEM
  ibrav = 0, nat = 11, ntyp = 3
/
ATOMIC_SPECIES
Cd 112.41 Cd.upf
Hg 200.59 Hg.upf
K 39.10 K.upf
CELL_PARAMETERS angstrom
5.748 0.000 2.744
2.874 5.501 1.372
-1.146 0.000 9.793
ATOMIC_POSITIONS angstrom
Cd 5.175 2.750 7.640
Hg 4.697 3.822 4.946
Hg 5.653 3.822 10.334
K -0.056 0.000 7.510
Hg 1.823 1.679 3.574
Cd 2.874 0.000 1.372
Hg 2.779 1.679 8.963
K 4.658 0.000 5.026
Cd 1.437 2.750 0.686
Cd 2.301 2.750 6.268
Cd 4.311 2.750 2.058
```



# 9
KCd2Hg2: relaxed, PBE. Values from VASP.

Values from the calculation:
total energy	-0.818	eV/atom
calculated formation energy	-11	kJ/mol of atoms
D(E_F)	2.0	states/eV/f.u.

Quantum ESPRESSO input file:
```
&SYSTEM
  ibrav = 0, nat = 10, ntyp = 3
/
ATOMIC_SPECIES
K 39.10 K.upf
Cd 112.41 Cd.upf
Hg 200.59 Hg.upf
CELL_PARAMETERS angstrom
-1.685 -4.077 5.488
0.749 -7.001 -0.004
6.227 -2.189 5.300
ATOMIC_POSITIONS angstrom
K 4.586 -3.886 4.447
Cd 2.827 -7.509 3.858
Hg 4.111 -11.307 9.505
Hg 1.181 -1.960 1.279
Hg 4.169 -8.226 6.459
Cd -0.130 -7.385 2.891
Hg 1.123 -5.041 4.325
K 0.706 -9.381 6.337
Cd 5.422 -5.882 7.893
Cd 2.465 -5.758 6.926
```



# 10
KCd2Hg2: relaxed, PBE. Values from VASP.

Values from the calculation:
total energy	-0.792	eV/atom
calculated formation energy	-8	kJ/mol of atoms
D(E_F)	1.7	states/eV/f.u.

Quantum ESPRESSO input file:
```
&SYSTEM
  ibrav = 0, nat = 10, ntyp = 3
/
ATOMIC_SPECIES
Cd 112.41 Cd.upf
K 39.10 K.upf
Hg 200.59 Hg.upf
CELL_PARAMETERS angstrom
-8.225 2.999 -2.461
-3.346 -8.403 0.941
-0.732 0.655 3.245
ATOMIC_POSITIONS angstrom
Cd -3.773 0.178 0.884
K 0.000 0.000 0.000
K -5.785 -2.702 -0.760
Hg -5.729 -6.096 -0.062
Hg -2.402 -2.497 -0.038
Cd -8.530 -4.927 0.841
Hg -9.168 -2.907 -1.482
Hg -5.842 0.692 -1.457
Cd -8.590 -0.094 -0.148
Cd -3.712 -4.656 1.873
```



# 11
K4CdHg3: relaxed, PBE. Values from VASP.

Values from the calculation:
total energy	-0.979	eV/atom
calculated formation energy	-20	kJ/mol of atoms
D(E_F)	4.4	states/eV/f.u.

Quantum ESPRESSO input file:
```
&SYSTEM
  ibrav = 0, nat = 8, ntyp = 3
/
ATOMIC_SPECIES
Hg 200.59 Hg.upf
K 39.10 K.upf
Cd 112.41 Cd.upf
CELL_PARAMETERS angstrom
4.886 0.000 0.000
0.000 5.194 0.000
0.000 0.000 12.754
ATOMIC_POSITIONS angstrom
Hg 0.000 0.000 5.544
K 0.000 2.597 10.848
Hg 2.443 0.000 11.969
K 0.000 0.000 1.885
K 2.443 2.597 4.538
K 2.443 0.000 8.250
Cd 2.443 2.597 0.762
Hg 0.000 2.597 7.219
```



# 12
K3Cd4Hg4: relaxed, PBE. Values from VASP.

Values from the calculation:
total energy	-0.897	eV/atom
calculated formation energy	-15	kJ/mol of atoms
D(E_F)	5.2	states/eV/f.u.

Quantum ESPRESSO input file:
```
&SYSTEM
  ibrav = 0, nat = 11, ntyp = 3
/
ATOMIC_SPECIES
Hg 200.59 Hg.upf
Cd 112.41 Cd.upf
K 39.10 K.upf
CELL_PARAMETERS angstrom
-0.720 4.672 -1.206
-2.550 0.598 3.837
14.641 1.435 6.694
ATOMIC_POSITIONS angstrom
Hg -0.393 3.024 2.081
Hg 7.670 4.849 4.342
Hg 3.700 1.856 4.983
Cd 6.521 2.041 4.016
K 7.866 3.159 7.548
K 0.000 0.000 0.000
Hg 11.764 3.681 7.244
K 3.505 3.546 1.777
Cd 4.850 4.664 5.310
Cd 1.299 1.104 3.504
Cd 10.072 5.601 5.821
```



# 13
K4CdHg5: relaxed, PBE. Values from VASP.

Values from the calculation:
total energy	-0.873	eV/atom
calculated formation energy	-18	kJ/mol of atoms
D(E_F)	5.3	states/eV/f.u.

Quantum ESPRESSO input file:
```
&SYSTEM
  ibrav = 0, nat = 10, ntyp = 3
/
ATOMIC_SPECIES
K 39.10 K.upf
Hg 200.59 Hg.upf
Cd 112.41 Cd.upf
CELL_PARAMETERS angstrom
5.467 0.000 1.940
2.734 7.971 0.970
0.069 0.000 8.483
ATOMIC_POSITIONS angstrom
K 3.323 2.290 7.207
K 1.723 2.290 3.041
K 4.457 5.681 4.011
Hg 4.240 0.000 4.675
Hg 3.573 7.971 6.555
K 6.056 5.682 8.177
Hg 2.505 4.983 0.889
Hg 5.308 2.988 10.341
Cd 0.905 0.000 0.321
Hg 3.666 0.000 1.301
```



# 14
K2Cd6Hg: relaxed, PBE. Values from VASP.

Values from the calculation:
total energy	-0.980	eV/atom
calculated formation energy	-9	kJ/mol of atoms
D(E_F)	3.4	states/eV/f.u.

Quantum ESPRESSO input file:
```
&SYSTEM
  ibrav = 0, nat = 9, ntyp = 3
/
ATOMIC_SPECIES
K 39.10 K.upf
Cd 112.41 Cd.upf
Hg 200.59 Hg.upf
CELL_PARAMETERS angstrom
6.577 0.000 0.000
-3.288 5.637 0.634
0.000 -0.749 6.890
ATOMIC_POSITIONS angstrom
K 3.288 1.784 1.108
K 0.000 3.104 6.415
Cd 1.746 0.508 4.660
Cd 3.288 3.171 4.974
Cd 1.543 4.380 2.863
Cd 0.000 1.717 2.549
Hg 0.000 0.000 0.000
Cd 4.831 0.508 4.660
Cd -1.543 4.380 2.863
```



# 15
K2CdHg3: relaxed, PBE. Values from VASP.

Values from the calculation:
total energy	-0.901	eV/atom
calculated formation energy	-22	kJ/mol of atoms
D(E_F)	2.2	states/eV/f.u.

Quantum ESPRESSO input file:
```
&SYSTEM
  ibrav = 0, nat = 6, ntyp = 3
/
ATOMIC_SPECIES
Hg 200.59 Hg.upf
Cd 112.41 Cd.upf
K 39.10 K.upf
CELL_PARAMETERS angstrom
-5.132 -0.508 -1.078
-1.305 -4.965 -4.322
-3.042 -4.553 3.755
ATOMIC_POSITIONS angstrom
Hg -4.905 -2.045 -1.431
Cd -2.184 -3.297 -0.922
Hg -4.578 -8.052 -0.157
Hg -7.283 -6.644 -0.817
K -5.224 -4.432 1.214
K -4.261 -5.609 -2.819
```



# 16
KCd4Hg8: relaxed, PBE. Values from VASP.

Values from the calculation:
total energy	-0.616	eV/atom
calculated formation energy	-6	kJ/mol of atoms
D(E_F)	3.4	states/eV/f.u.

Quantum ESPRESSO input file:
```
&SYSTEM
  ibrav = 0, nat = 13, ntyp = 3
/
ATOMIC_SPECIES
Cd 112.41 Cd.upf
Hg 200.59 Hg.upf
K 39.10 K.upf
CELL_PARAMETERS angstrom
-0.711 -6.037 0.266
6.993 -3.954 -1.457
1.263 -2.884 7.533
ATOMIC_POSITIONS angstrom
Cd 3.496 -1.977 -0.729
Hg 2.125 -6.130 5.756
K 0.000 0.000 0.000
Hg 5.995 -9.686 4.974
Cd 0.632 -1.442 3.767
Hg 5.420 -6.745 0.586
Cd 0.276 -4.460 3.899
Cd 3.141 -4.995 -0.596
Hg 3.268 -3.258 4.387
Hg 4.988 -3.579 1.689
Hg 2.427 -6.317 2.299
Hg 1.550 -3.189 1.367
Hg 5.118 -6.557 4.043
```



# 17
K3Cd2Hg2: relaxed, PBE. Values from VASP.

Values from the calculation:
total energy	-0.971	eV/atom
calculated formation energy	-15	kJ/mol of atoms
D(E_F)	4.0	states/eV/f.u.

Quantum ESPRESSO input file:
```
&SYSTEM
  ibrav = 0, nat = 7, ntyp = 3
/
ATOMIC_SPECIES
Hg 200.59 Hg.upf
Cd 112.41 Cd.upf
K 39.10 K.upf
CELL_PARAMETERS angstrom
-3.584 -0.890 3.118
-2.346 -0.491 -6.582
4.164 -7.847 2.545
ATOMIC_POSITIONS angstrom
Hg 1.235 -2.747 0.635
Cd 2.327 -7.666 0.485
Hg -3.000 -6.482 -1.553
K -0.694 -5.765 1.302
K -1.792 -0.445 1.559
Cd -4.092 -1.563 -1.404
K -1.071 -3.464 -2.220
```



# 18
K8Cd3Hg2: relaxed, PBE. Values from VASP.

Values from the calculation:
total energy	-0.989	eV/atom
calculated formation energy	-5	kJ/mol of atoms
D(E_F)	7.3	states/eV/f.u.

Quantum ESPRESSO input file:
```
&SYSTEM
  ibrav = 0, nat = 13, ntyp = 3
/
ATOMIC_SPECIES
K 39.10 K.upf
Cd 112.41 Cd.upf
Hg 200.59 Hg.upf
CELL_PARAMETERS angstrom
6.130 0.008 -0.252
-0.176 8.513 -3.986
0.032 0.070 11.236
ATOMIC_POSITIONS angstrom
K 4.576 7.216 4.124
K 1.602 1.081 7.199
Cd 3.065 0.004 -0.126
Cd -0.027 1.326 -0.621
Cd -0.148 7.187 -3.365
Hg 4.585 2.374 4.868
K 1.410 1.374 2.874
K 4.463 3.702 1.582
K 4.384 7.510 -0.201
Hg 1.401 6.217 2.130
K 4.558 3.844 8.010
K 1.523 4.889 5.416
K 1.428 4.747 -1.012
```



# 19
KCdHg4: relaxed, PBE. Values from VASP.

Values from the calculation:
total energy	-0.668	eV/atom
calculated formation energy	-13	kJ/mol of atoms
D(E_F)	2.3	states/eV/f.u.

Quantum ESPRESSO input file:
```
&SYSTEM
  ibrav = 0, nat = 12, ntyp = 3
/
ATOMIC_SPECIES
Hg 200.59 Hg.upf
K 39.10 K.upf
Cd 112.41 Cd.upf
CELL_PARAMETERS angstrom
-0.815 3.824 -4.104
-5.580 -0.122 0.995
1.109 7.957 7.191
ATOMIC_POSITIONS angstrom
Hg -2.480 7.017 3.114
Hg -4.857 5.045 5.663
K -3.198 1.851 -1.555
Hg -3.384 5.379 -2.146
Hg -1.902 6.280 6.227
Cd -2.235 3.917 4.093
K 0.000 0.000 0.000
Hg 0.473 8.253 3.679
Hg -0.429 6.614 -1.582
Hg -2.806 4.642 0.967
Hg -5.759 3.406 0.403
Cd 0.147 5.890 1.543
```



# 20
K5CdHg4: relaxed, PBE. Values from VASP.

Values from the calculation:
total energy	-0.931	eV/atom
calculated formation energy	-16	kJ/mol of atoms
D(E_F)	7.3	states/eV/f.u.

Quantum ESPRESSO input file:
```
&SYSTEM
  ibrav = 0, nat = 10, ntyp = 3
/
ATOMIC_SPECIES
Hg 200.59 Hg.upf
K 39.10 K.upf
Cd 112.41 Cd.upf
CELL_PARAMETERS angstrom
4.279 0.000 0.000
0.000 4.279 0.000
0.000 0.000 20.945
ATOMIC_POSITIONS angstrom
Hg 0.000 0.000 8.401
K 2.140 2.140 6.310
Cd 0.000 0.000 0.000
Hg 0.000 0.000 4.219
Hg 0.000 0.000 12.544
Hg 0.000 0.000 16.727
K 2.140 2.140 2.152
K 2.140 2.140 14.636
K 2.140 2.140 10.473
K 2.140 2.140 18.793
```



# 21
KCd3Hg6: relaxed, PBE. Values from VASP.

Values from the calculation:
total energy	-0.636	eV/atom
calculated formation energy	-7	kJ/mol of atoms
D(E_F)	3.3	states/eV/f.u.

Quantum ESPRESSO input file:
```
&SYSTEM
  ibrav = 0, nat = 10, ntyp = 3
/
ATOMIC_SPECIES
Hg 200.59 Hg.upf
Cd 112.41 Cd.upf
K 39.10 K.upf
CELL_PARAMETERS angstrom
0.992 -8.017 -2.140
5.258 2.883 3.684
-5.644 3.887 4.636
ATOMIC_POSITIONS angstrom
Hg 1.923 1.248 2.898
Hg -0.847 -2.833 0.642
Hg -0.582 -5.872 -0.204
Cd -1.195 -0.801 2.959
Cd 1.833 -4.054 0.127
Cd -1.320 4.363 5.821
Hg 1.893 -1.814 2.417
Hg -1.332 1.494 4.980
Hg 1.360 2.959 5.394
K -3.959 -3.809 2.187
```